# PBE Ba2PdO3, optimized geometry
data_Ba2PdO3
_chemical_formula_sum 'Ba4 Pd2 O6'
_space_group_name_H-M_alt 'I m m m'
_space_group_IT_number 71
_space_group_name_Hall '-I 2 2'
_cell_length_a 3.902
_cell_length_b 4.160
_cell_length_c 13.469
_cell_angle_alpha 90.00
_cell_angle_beta 90.00
_cell_angle_gamma 90.00
loop_
_atom_site_label
_atom_site_fract_x
_atom_site_fract_y
_atom_site_fract_z
Ba1 0.000 0.000 0.145
Pd1 0.000 0.000 0.500
O1 0.000 0.000 0.345
O2 0.000 0.500 0.500
# energy relative to the lowest polymorph listed for this composition = 0.000 eV per atom
# energy = -5.911 eV per atom
# total magnetic moment = 0.000 μB/cell